1.
DFT (PBE) results for a relaxed Li4NbZn5 crystal.

Geometry as POSCAR:
```
Li4NbZn5
1.0
2.812 0.000 0.000
0.000 2.812 0.000
0.000 0.000 19.252
Li Nb Zn
4 1 5
Direct
0.000 0.000 0.100 Li
0.000 0.000 0.297 Li
0.000 0.000 0.703 Li
0.000 0.000 0.900 Li
0.000 0.000 0.500 Nb
0.500 0.500 0.000 Zn
0.500 0.500 0.200 Zn
0.500 0.500 0.394 Zn
0.500 0.500 0.606 Zn
0.500 0.500 0.800 Zn
```

Computed properties:
Its energy of formation from the pure elements is -0.14 eV/atom. The space-group type is P4/mmm, No. 123. The crystal system is tetragonal.

2.
DFT (PBE) results for a relaxed Sm2CuSn4Rh3 crystal.

Geometry as POSCAR:
```
Sm2CuSn4Rh3
1.0
4.541 0.000 0.000
0.000 4.541 0.000
0.000 0.000 10.512
Sm Cu Sn Rh
2 1 4 3
Direct
0.000 0.500 0.246 Sm
0.500 0.000 0.754 Sm
0.500 0.500 0.000 Cu
0.000 0.000 0.500 Sn
0.000 0.500 0.874 Sn
0.500 0.000 0.126 Sn
0.500 0.500 0.500 Sn
0.000 0.000 0.000 Rh
0.000 0.500 0.630 Rh
0.500 0.000 0.370 Rh
```

Computed properties:
Its energy of formation from the pure elements is -0.61 eV/atom. The space-group type is P-4m2, No. 115. The crystal system is tetragonal.

3.
DFT (PBE) results for a relaxed ZrRuAu2 crystal.

Geometry as POSCAR:
```
ZrRuAu2
1.0
-1.975 1.975 4.459
1.975 -1.975 4.459
1.975 1.975 -4.459
Zr Ru Au
1 1 2
Direct
0.000 0.000 0.000 Zr
0.500 0.500 0.000 Ru
0.250 0.750 0.500 Au
0.750 0.250 0.500 Au
```

Computed properties:
Its energy of formation from the pure elements is -0.35 eV/atom. The space-group type is I4/mmm, No. 139. The crystal system is tetragonal.

4.
DFT (PBE) results for a relaxed SrPr2Y crystal.

Geometry as POSCAR:
```
SrPr2Y
1.0
0.000 4.246 4.246
4.246 0.000 4.246
4.246 4.246 0.000
Sr Pr Y
1 2 1
Direct
0.000 0.000 0.000 Sr
0.250 0.250 0.250 Pr
0.750 0.750 0.750 Pr
0.500 0.500 0.500 Y
```

Computed properties:
Its energy of formation from the pure elements is 0.19 eV/atom. The space-group type is Fm-3m, No. 225. The crystal system is cubic.

5.
DFT (PBE) results for a relaxed CsTmPb4 crystal.

Geometry as POSCAR:
```
CsTmPb4
1.0
5.536 0.000 0.000
-2.768 4.794 0.000
0.000 0.000 8.759
Cs Tm Pb
1 1 4
Direct
0.000 0.000 0.000 Cs
0.000 0.000 0.500 Tm
0.333 0.667 0.315 Pb
0.333 0.667 0.685 Pb
0.667 0.333 0.315 Pb
0.667 0.333 0.685 Pb
```

Computed properties:
Its energy of formation from the pure elements is -0.12 eV/atom. The space-group type is P6/mmm, No. 191. The crystal system is hexagonal.

What is the formula in the fifth record? CsTmPb4

The highest energy of formation from the pure elements belongs to which entry? SrPr2Y

Among the records above, which one has the highest energy of formation from the pure elements? SrPr2Y

Number 2 is which compound? Sm2CuSn4Rh3